The following is a DFT calculation (GGA-PBE) of crystalline RbLa2SnW at its relaxed geometry. Values from VASP.

Output
Magnetization ... 1.80 μB/cell
E_form ... 167.05 kJ/mol of atoms
Calculated total energy ... -3.824 eV/atom
Space group ... P4/mmm, No. 123

Quantum ESPRESSO input file:
```
&SYSTEM
  ibrav = 0, nat = 5, ntyp = 4
/
ATOMIC_SPECIES
Rb 85.47 Rb.upf
La 138.91 La.upf
Sn 118.71 Sn.upf
W 183.84 W.upf
ATOMIC_POSITIONS crystal
Rb 0.0000 0.0000 0.0000
La 0.0000 0.5000 0.0000
La 0.5000 0.0000 0.0000
Sn 0.5000 0.5000 0.5000
W 0.0000 0.0000 0.5000
CELL_PARAMETERS angstrom
5.6027 0.0000 0.0000
0.0000 5.6027 0.0000
0.0000 0.0000 5.0771
```

The following is a DFT calculation (GGA-PBE) of crystalline CsP2Cl2 at its relaxed geometry. Values from VASP.

Output
Magnetization ... 0.00 μB/cell
Calculated total energy ... -2.794 eV/atom
Formation energy (no corrections) ... 0.279 eV per atom
Energy relative to the lowest polymorph listed for this composition ... 0.563 eV per atom
Space group ... P4/mbm, No. 127

Quantum ESPRESSO input file:
```
&SYSTEM
  ibrav = 0, nat = 10, ntyp = 3
/
ATOMIC_SPECIES
Cs 132.91 Cs.upf
P 30.97 P.upf
Cl 35.45 Cl.upf
ATOMIC_POSITIONS crystal
Cs 0.0000 0.0000 0.0000
Cs 0.5000 0.5000 0.0000
P 0.2485 0.2515 0.5000
P 0.2515 0.7515 0.5000
P 0.7485 0.2485 0.5000
P 0.7515 0.7485 0.5000
Cl 0.1190 0.3810 0.0000
Cl 0.3810 0.8810 0.0000
Cl 0.6190 0.1190 0.0000
Cl 0.8810 0.6190 0.0000
CELL_PARAMETERS angstrom
9.5507 0.0000 0.0000
0.0000 9.5507 0.0000
0.0000 0.0000 3.2236
```

The following is a DFT calculation (GGA-PBE) of crystalline SmNi5Au7 at its relaxed geometry. Values from VASP.

Output
Magnetization ... 0.48 μB/cell
E_form ... -17.56 kJ/mol of atoms
Calculated total energy ... -4.533 eV/atom
Space group ... Imm2, No. 44

Quantum ESPRESSO input file:
```
&SYSTEM
  ibrav = 0, nat = 13, ntyp = 3
/
ATOMIC_SPECIES
Sm 150.36 Sm.upf
Ni 58.69 Ni.upf
Au 196.97 Au.upf
ATOMIC_POSITIONS crystal
Sm 0.0000 0.0000 0.0000
Ni 0.5082 0.0028 0.0078
Ni 0.5082 0.5004 0.5054
Ni 0.7685 0.2685 0.5000
Ni 0.9950 0.0028 0.4946
Ni 0.9950 0.5004 0.9922
Au 0.1993 0.4963 0.7030
Au 0.2287 0.7287 0.5000
Au 0.3414 0.3414 0.0000
Au 0.3473 0.0072 0.3401
Au 0.6671 0.0072 0.6599
Au 0.6701 0.6701 0.0000
Au 0.7933 0.4963 0.2970
CELL_PARAMETERS angstrom
-2.5989 4.4883 4.5256
2.5989 -4.4883 4.5256
2.5989 4.4883 -4.5256
```